The following is a DFT calculation (GGA-PBE) of Be2NiAg after structural relaxation.

Cell and atoms, written as POSCAR:
```
Be2NiAg
1.0
2.7369 0.0000 0.0000
0.0000 2.7369 0.0000
0.0000 0.0000 5.8610
Be Ni Ag
2 1 1
direct
0.0000 0.0000 0.1996
0.0000 0.0000 0.8004
0.5000 0.5000 0.0000
0.5000 0.5000 0.5000
```

Summary:
**ΔE_f**: -0.14 eV per atom
**Total moment**: 0.00 μB/cell
**Space group**: P4/mmm (123)
**Energy above the most stable polymorph in this dataset**: 0.0 kJ/mol of atoms
**DOS(E_F)**: 1.049 states/eV per cell



The following is a DFT calculation (GGA-PBE) of PmAlPb2S5 after structural relaxation.

Cell and atoms, written as POSCAR:
```
PmAlPb2S5
1.0
1.9823 -8.9613 0.0000
1.9823 8.9613 0.0000
0.0000 0.0000 12.8640
Pm Al Pb S
2 2 4 10
direct
0.1975 0.8025 0.5000
0.8025 0.1975 0.0000
0.4486 0.5514 0.8899
0.5514 0.4486 0.3899
0.1187 0.8813 0.7994
0.1328 0.8672 0.1408
0.8672 0.1328 0.6408
0.8813 0.1187 0.2994
0.0334 0.9666 0.4849
0.2957 0.7043 0.1513
0.3252 0.6748 0.8470
0.3508 0.6492 0.4870
0.4878 0.5122 0.2416
0.5122 0.4878 0.7416
0.6492 0.3508 0.9870
0.6748 0.3252 0.3470
0.7043 0.2957 0.6513
0.9666 0.0334 0.9849
```

Summary:
**Total moment**: 0.00 μB/cell
**Formation energy from raw total energies**: -1089 meV per atom
**Space group**: Cmc2_1 (36)
**DOS(E_F)**: 0.000 states/eV per cell



Please write out number 1 again, unchanged.
The following is a DFT calculation (GGA-PBE) of Be2NiAg after structural relaxation.

Cell and atoms, written as POSCAR:
```
Be2NiAg
1.0
2.7369 0.0000 0.0000
0.0000 2.7369 0.0000
0.0000 0.0000 5.8610
Be Ni Ag
2 1 1
direct
0.0000 0.0000 0.1996
0.0000 0.0000 0.8004
0.5000 0.5000 0.0000
0.5000 0.5000 0.5000
```

Summary:
**ΔE_f**: -0.14 eV per atom
**Total moment**: 0.00 μB/cell
**Space group**: P4/mmm (123)
**Energy above the most stable polymorph in this dataset**: 0.0 kJ/mol of atoms
**DOS(E_F)**: 1.049 states/eV per cell



- The lowest DOS(E_F) belongs to which entry?
  PmAlPb2S5